Below is an optimized crystal structure of LiCaGaCu, with properties calculated at the PBE level.

Unit cell a=4.306 b=4.308 c=5.578 alpha=112.62 beta=90.00 gamma=119.99
Sites, in units of the cell vectors:
Cu1 0.422 0.843 0.907
Ca1 0.624 0.248 0.513
Ga1 0.097 0.194 0.933
Li1 0.824 0.648 0.114

Properties
As for the mass density: 3.7 Mg/m³. The space group is Cm. The value obtained for the calculated volume is 80.3 Å³ per cell. As for the energy: -3.029 eV/atom. Its size of the total moment is 0.00 μB/f.u. As for the energy relative to the elements: -104 kJ/mol of formula units.

---

Below is an optimized crystal structure of LiCa2Ga4Cu3, with properties calculated at the PBE level.

Unit cell a=4.097 b=4.097 c=10.955 alpha=90.00 beta=90.00 gamma=90.00
Sites, in units of the cell vectors:
Ca1 0.500 0.000 0.242
Ca2 0.000 0.500 0.758
Cu1 0.000 0.500 0.135
Ga1 0.500 0.500 0.000
Cu2 0.500 0.000 0.865
Cu3 0.000 0.000 0.500
Ga2 0.500 0.000 0.641
Ga3 0.000 0.000 0.000
Ga4 0.000 0.500 0.359
Li1 0.500 0.500 0.500

Properties
As for the mass density: 5.0 Mg/m³. The space group is P-4m2. The value obtained for the calculated volume is 183.9 Å³ per cell. As for the energy: -3.336 eV/atom. Its size of the total moment is 0.00 μB/f.u. As for the energy relative to the elements: -294 kJ/mol of formula units.

---

Below is an optimized crystal structure of LiCaGa2Cu, with properties calculated at the PBE level.

Unit cell a=4.667 b=4.667 c=4.708 alpha=90.00 beta=90.00 gamma=90.00
Sites, in units of the cell vectors:
Ca1 0.500 0.500 0.500
Cu1 0.000 0.000 0.000
Ga1 0.500 0.000 0.000
Ga2 0.000 0.500 0.000
Li1 0.000 0.000 0.500

Properties
As for the mass density: 4.0 Mg/m³. The space group is P4/mmm. The value obtained for the calculated volume is 102.6 Å³ per cell. As for the energy: -2.989 eV/atom. Its size of the total moment is 0.00 μB/f.u. As for the energy relative to the elements: -85 kJ/mol of formula units.

---

Below is an optimized crystal structure of LiCa2Ga3Cu4, with properties calculated at the PBE level.

Unit cell a=4.169 b=4.169 c=10.399 alpha=90.00 beta=90.00 gamma=90.00
Sites, in units of the cell vectors:
Ga1 0.000 0.000 0.500
Cu1 0.500 0.500 0.000
Ga2 0.000 0.500 0.129
Cu2 0.500 0.000 0.636
Cu3 0.000 0.000 0.000
Cu4 0.000 0.500 0.364
Li1 0.500 0.500 0.500
Ca1 0.500 0.000 0.244
Ga3 0.500 0.000 0.871
Ca2 0.000 0.500 0.756

Properties
As for the mass density: 5.1 Mg/m³. The space group is P-4m2. The value obtained for the calculated volume is 180.8 Å³ per cell. As for the energy: -3.406 eV/atom. Its size of the total moment is 0.00 μB/f.u. As for the energy relative to the elements: -259 kJ/mol of formula units.

---

Below is an optimized crystal structure of Li2CaGaCu, with properties calculated at the PBE level.

Unit cell a=4.754 b=4.754 c=4.625 alpha=90.00 beta=90.00 gamma=90.00
Sites, in units of the cell vectors:
Ga1 0.000 0.000 0.500
Cu1 0.000 0.000 0.000
Li1 0.500 0.000 0.000
Li2 0.000 0.500 0.000
Ca1 0.500 0.500 0.500

Properties
As for the mass density: 3.0 Mg/m³. The space group is P4/mmm. The value obtained for the calculated volume is 104.5 Å³ per cell. As for the energy: -2.691 eV/atom. Its size of the total moment is 0.00 μB/f.u. As for the energy relative to the elements: -48 kJ/mol of formula units.

---

Below is an optimized crystal structure of LiCa2GaCu, with properties calculated at the PBE level.

Unit cell a=5.558 b=5.558 c=4.589 alpha=90.00 beta=90.00 gamma=90.00
Sites, in units of the cell vectors:
Cu1 0.000 0.000 0.000
Ca1 0.500 0.000 0.000
Li1 0.500 0.500 0.500
Ga1 0.000 0.000 0.500
Ca2 0.000 0.500 0.000

Properties
As for the mass density: 2.6 Mg/m³. The space group is P4/mmm. The value obtained for the calculated volume is 141.7 Å³ per cell. As for the energy: -2.672 eV/atom. Its size of the total moment is 0.00 μB/f.u. As for the energy relative to the elements: -31 kJ/mol of formula units.